LiRu2Rh, optimized geometry, DFT PBE; space group = R-3m
1.0
9.122 -0.006 -0.004
8.727 2.653 -0.004
8.727 1.294 2.316
Ru Rh Li
2 1 1
direct
0.002 0.002 0.002
0.498 0.498 0.498
0.750 0.750 0.750
0.250 0.250 0.250

***

Li2RuRh, optimized geometry, DFT PBE; space group = I-42d
1.0
6.700 0.000 0.000
0.000 6.700 0.000
3.350 3.350 2.447
Li Rh Ru
4 2 2
direct
0.629 0.125 0.250
0.375 0.371 0.750
0.875 0.879 0.750
0.121 0.625 0.250
0.000 0.000 0.000
0.750 0.250 0.500
0.500 0.500 0.000
0.250 0.750 0.500

***

LiRu2Rh, optimized geometry, DFT PBE; space group = Fm-3m
1.0
0.000 3.002 3.002
3.002 0.000 3.002
3.002 3.002 0.000
Li Rh Ru
1 1 2
direct
0.000 0.000 0.000
0.500 0.500 0.500
0.750 0.750 0.750
0.250 0.250 0.250

***

LiRu2Rh, optimized geometry, DFT PBE; space group = I4/mmm
1.0
4.792 0.004 0.000
2.026 4.343 0.000
-3.409 -2.173 2.573
Ru Li Rh
2 1 1
direct
0.500 0.500 0.000
0.000 0.000 0.000
0.250 0.750 0.500
0.750 0.250 0.500

***

Li4RuRh, optimized geometry, DFT PBE; space group = F-43m
1.0
-2.037 2.183 3.672
-4.561 1.245 -0.221
-3.206 -2.283 2.628
Ru Li Rh
1 4 1
direct
0.000 0.000 0.000
0.375 0.375 0.875
0.375 0.375 0.375
0.875 0.375 0.375
0.375 0.875 0.375
0.750 0.750 0.750

***

LiRuRh6, optimized geometry, DFT PBE; space group = C2/m
1.0
0.167 3.547 -1.393
-3.530 2.744 1.340
2.998 3.931 5.148
Ru Rh Li
1 6 1
direct
0.000 0.500 0.500
0.497 0.258 0.748
0.503 0.742 0.252
0.251 0.375 0.123
0.248 0.877 0.627
0.752 0.123 0.373
0.749 0.625 0.877
0.000 0.000 0.000

***

LiRu3Rh, optimized geometry, DFT PBE; space group = Pm-3m
1.0
4.704 0.000 0.000
0.000 4.704 0.000
0.000 0.000 4.704
Ru Li Rh
3 1 1
direct
0.000 0.000 0.500
0.500 0.000 0.000
0.000 0.500 0.000
0.500 0.500 0.500
0.000 0.000 0.000

***

Li2RuRh2, optimized geometry, DFT PBE; space group = P4/mbm
1.0
6.881 0.000 0.000
0.000 6.881 0.000
0.000 0.000 2.761
Rh Li Ru
4 4 2
direct
0.636 0.136 0.000
0.136 0.364 0.000
0.864 0.636 0.000
0.364 0.864 0.000
0.336 0.164 0.500
0.836 0.336 0.500
0.164 0.664 0.500
0.664 0.836 0.500
0.000 0.000 0.000
0.500 0.500 0.000

***

Raw total energy readings, ordered: -6.78 -4.61 -6.61 -6.82 -3.83 -6.93 -5.75 -5.30 eV/atom